(1)
Li2CaNp3N6 PBE-GGA optimized geometry; crystal system = monoclinic; N(E_F) = 1.367 states/eV per atom; E_tot = -106.62 eV per cell; energy relative to the elements, uncorrected = -1.002 eV/atom
1.0
-0.451 -3.388 0.652
3.315 -1.564 -5.836
5.661 1.860 4.302
N Li Np Ca
6 2 3 1
direct
0.013 0.725 0.026 N
0.326 0.974 0.651 N
0.987 0.275 0.974 N
0.338 0.402 0.675 N
0.674 0.026 0.349 N
0.662 0.598 0.325 N
0.828 0.628 0.656 Li
0.172 0.372 0.344 Li
0.825 0.183 0.650 Np
0.175 0.817 0.350 Np
0.500 0.500 0.000 Np
0.500 0.000 0.000 Ca


(2)
Li6Ca12Re4N16O3 PBE-GGA optimized geometry; crystal system = cubic; N(E_F) = 0.316 states/eV per atom; E_tot = -558.69 eV per cell; energy relative to the elements, uncorrected = -1.121 eV/atom
1.0
-1.255 -10.959 -2.683
10.409 3.448 -2.939
-1.414 1.344 11.183
Ca N O Li Re
24 32 6 12 8
direct
0.708 0.038 0.095 Ca
0.057 0.462 0.170 Ca
0.443 0.613 0.405 Ca
0.405 0.443 0.613 Ca
0.792 0.887 0.330 Ca
0.038 0.095 0.708 Ca
0.887 0.330 0.792 Ca
0.170 0.057 0.462 Ca
0.557 0.670 0.962 Ca
0.208 0.595 0.538 Ca
0.387 0.292 0.830 Ca
0.595 0.538 0.208 Ca
0.113 0.943 0.905 Ca
0.830 0.387 0.292 Ca
0.613 0.405 0.443 Ca
0.330 0.792 0.887 Ca
0.292 0.830 0.387 Ca
0.095 0.708 0.038 Ca
0.538 0.208 0.595 Ca
0.670 0.962 0.557 Ca
0.943 0.905 0.113 Ca
0.962 0.557 0.670 Ca
0.462 0.170 0.057 Ca
0.905 0.113 0.943 Ca
0.000 0.885 0.500 N
0.583 0.457 0.821 N
0.238 0.417 0.374 N
0.364 0.043 0.626 N
0.738 0.874 0.917 N
0.457 0.821 0.583 N
0.874 0.917 0.738 N
0.917 0.738 0.874 N
0.083 0.321 0.957 N
0.626 0.364 0.043 N
0.500 0.000 0.885 N
0.679 0.136 0.762 N
0.615 0.615 0.615 N
0.821 0.583 0.457 N
0.543 0.864 0.126 N
0.374 0.238 0.417 N
0.043 0.626 0.364 N
0.500 0.000 0.385 N
0.885 0.500 0.000 N
0.262 0.636 0.179 N
0.762 0.679 0.136 N
0.000 0.385 0.500 N
0.417 0.374 0.238 N
0.864 0.126 0.543 N
0.179 0.262 0.636 N
0.115 0.115 0.115 N
0.636 0.179 0.262 N
0.385 0.500 0.000 N
0.957 0.083 0.321 N
0.136 0.762 0.679 N
0.126 0.543 0.864 N
0.321 0.957 0.083 N
0.125 0.875 0.250 O
0.875 0.250 0.125 O
0.625 0.750 0.375 O
0.750 0.375 0.625 O
0.250 0.125 0.875 O
0.375 0.625 0.750 O
0.026 0.250 0.276 Li
0.974 0.724 0.250 Li
0.250 0.974 0.724 Li
0.750 0.224 0.474 Li
0.250 0.276 0.026 Li
0.526 0.776 0.750 Li
0.224 0.474 0.750 Li
0.474 0.750 0.224 Li
0.276 0.026 0.250 Li
0.776 0.750 0.526 Li
0.750 0.526 0.776 Li
0.724 0.250 0.974 Li
0.000 0.721 0.500 Re
0.721 0.500 0.000 Re
0.500 0.000 0.221 Re
0.500 0.000 0.721 Re
0.779 0.779 0.779 Re
0.000 0.221 0.500 Re
0.279 0.279 0.279 Re
0.221 0.500 0.000 Re


(3)
LiCaPN2 PBE-GGA optimized geometry; crystal system = monoclinic; N(E_F) = 0.467 states/eV per atom; E_tot = -55.44 eV per cell; energy relative to the elements, uncorrected = -0.349 eV/atom
1.0
3.948 0.000 0.000
0.000 5.468 0.230
0.000 -1.410 6.026
Li N Ca P
2 4 2 2
direct
0.492 0.000 0.250 Li
0.508 0.000 0.750 Li
0.745 0.240 0.550 N
0.745 0.760 0.950 N
0.255 0.240 0.050 N
0.255 0.760 0.450 N
0.253 0.500 0.750 Ca
0.747 0.500 0.250 Ca
0.000 0.000 0.000 P
0.000 0.000 0.500 P


(4)
LiCa3Pa2N6 PBE-GGA optimized geometry; crystal system = monoclinic; N(E_F) = 0.554 states/eV per atom; E_tot = -91.47 eV per cell; energy relative to the elements, uncorrected = -1.217 eV/atom
1.0
3.600 0.000 0.000
0.000 7.076 0.191
-1.800 -2.100 6.956
N Ca Pa Li
6 3 2 1
direct
0.985 0.731 0.971 N
0.334 0.895 0.667 N
0.015 0.269 0.029 N
0.321 0.436 0.642 N
0.666 0.105 0.333 N
0.679 0.564 0.358 N
0.158 0.837 0.316 Ca
0.842 0.163 0.684 Ca
0.500 0.500 0.000 Ca
0.161 0.313 0.322 Pa
0.839 0.687 0.678 Pa
0.500 0.000 0.000 Li


| no. | M_tot (μB/f.u.) |
| --- | --- |
| 1 | 7.00 |
| 2 | 0.00 |
| 3 | 0.00 |
| 4 | 0.00 |